## NiAsI2N (GGA-PBE)

Data for a relaxed structure of NiAsI2N.

abc: 5.4975 5.4975 3.5346
angles: 90.00 90.00 90.00
With the nearest neighbours (Å) after each atom.
Space group P4/mmm (No. 123)
One atom of each set of equivalent atoms:
Ni: 0.0000 0.0000 0.0000 [1 per cell]  2 N 1.77
As: 0.5000 0.5000 0.5000 [1 per cell]  8 I 3.27, 2 As 3.53
I: 0.0000 0.5000 0.0000 [2 per cell]  2 Ni 2.75
N: 0.0000 0.0000 0.5000 [1 per cell]  2 Ni 1.77

## Properties
E_form (uncorrected)	764	meV per atom
V	21.4	Å³ per atom
mass density	6.24	g/cm³
DOS(E_F)	3.92	states/eV/f.u.
magnetic moment	0.97	μB per cell
DFT total energy	-3.607	eV per atom



## SbCl2 (GGA-PBE)

Data for a relaxed structure of SbCl2.

abc: 3.4438 13.9145 4.2607
angles: 90.00 90.00 90.00
With the nearest neighbours (Å) after each atom.
Space group Imm2 (No. 44)
One atom of each set of equivalent atoms:
Sb: 0.0000 0.0000 0.0000 [2 per cell]  2 Cl 2.44
Cl: 0.0000 0.1308 0.6201 [4 per cell]  1 Sb 2.44

## Properties
E_form (uncorrected)	-666	meV per atom
V	34.0	Å³ per atom
mass density	3.13	g/cm³
DOS(E_F)	0.38	states/eV/f.u.
magnetic moment	0.00	μB per cell
DFT total energy	-3.271	eV per atom



## La2TaMo (GGA-PBE)

Data for a relaxed structure of La2TaMo.

abc: 3.3181 3.3181 30.4513
angles: 90.00 90.00 120.00
With the nearest neighbours (Å) after each atom.
Space group R-3m (No. 166, hexagonal axes)
One atom of each set of equivalent atoms:
La: 0.0000 0.0000 0.2461 [6 per cell]  3 Mo 3.09, 3 Ta 3.27, 6 La 3.32
Ta: 0.0000 0.0000 0.0000 [3 per cell]  6 La 3.27, 6 Ta 3.32
Mo: 0.0000 0.0000 0.5000 [3 per cell]  6 La 3.09, 6 Mo 3.32

## Properties
V	24.2	Å³ per atom
mass density	9.52	g/cm³
DOS(E_F)	5.15	states/eV/f.u.
E_form	81.6	kJ/mol of atoms
magnetic moment	4.98	μB per cell
DFT total energy	-7.289	eV per atom